Record 1
# PBE Nb3CoMo, relaxed
# **Relative energy among the computed polymorphs**: 0.00 eV per formula unit
# **Total magnetic moment**: 0.00 μB/cell
# **Energy relative to the elements**: 0.90 eV per atom
# **Uncorrected energy**: -8.733 eV/atom
data_Nb3CoMo
_chemical_formula_sum 'Nb3 Co1 Mo1'
_cell_length_a 4.553
_cell_length_b 4.553
_cell_length_c 4.553
_cell_angle_alpha 90.00
_cell_angle_beta 90.00
_cell_angle_gamma 90.00
_space_group_name_H-M_alt 'P m -3 m'
_space_group_IT_number 221
_space_group_name_Hall '-P 4 2 3'
loop_
_atom_site_label
_atom_site_type_symbol
_atom_site_fract_x
_atom_site_fract_y
_atom_site_fract_z
_atom_site_occupancy
Nb1 Nb 0.000 0.000 0.500 1
Co1 Co 0.000 0.000 0.000 1
Mo1 Mo 0.500 0.500 0.500 1



Record 2
# PBE Nb2CoMo, relaxed
# **Total magnetic moment**: 0.00 μB/cell
# **Energy relative to the elements**: 0.49 eV per atom
# **Uncorrected energy**: -9.031 eV/atom
data_Nb2CoMo
_chemical_formula_sum 'Nb8 Co4 Mo4'
_cell_length_a 7.040
_cell_length_b 7.040
_cell_length_c 5.360
_cell_angle_alpha 90.00
_cell_angle_beta 90.00
_cell_angle_gamma 90.00
_space_group_name_H-M_alt 'I -4 2 d'
_space_group_IT_number 122
_space_group_name_Hall 'I -4 2bw'
loop_
_atom_site_label
_atom_site_type_symbol
_atom_site_fract_x
_atom_site_fract_y
_atom_site_fract_z
_atom_site_occupancy
Nb1 Nb 0.227 0.250 0.125 1
Co1 Co 0.000 0.000 0.000 1
Mo1 Mo 0.000 0.000 0.500 1